A relaxed structure of Ba2ZrFe. Source: Alexandria via LeMat-Bulk, functional PBE-GGA.

Lattice parameters (Å, degrees): 3.648 3.648 10.014 90.00 90.00 90.00
Fractional coordinates of all 4 atoms:
Ba1 0.000 0.000 0.000
Ba2 0.500 0.500 0.385
Zr1 0.500 0.500 0.718
Fe1 0.000 0.000 0.623

Formation energy, eV per atom: 0.383
E above lowest polymorph, meV/atom: 0
N(E_F), states/eV/f.u.: 5.55
Size of the total moment, μB/f.u.: 1.5
SG: P4mm (99)